A plane-wave DFT calculation with PBE was carried out for a relaxed structure of Rb7IBr5.

Unit cell a=8.696 b=8.696 c=29.928 alpha=90.18 beta=90.18 gamma=33.37
Fractional positions:
Rb: 0.000 0.000 0.000
Rb: 0.000 0.000 0.431
Rb: 0.095 0.095 0.715
Rb: 0.176 0.176 0.216
Rb: 0.271 0.271 0.931
Rb: 0.272 0.272 0.500
Rb: 0.464 0.464 0.290
Rb: 0.465 0.465 0.141
Rb: 0.543 0.543 0.861
Rb: 0.545 0.545 0.570
Rb: 0.727 0.727 0.361
Rb: 0.728 0.728 0.070
Rb: 0.806 0.806 0.791
Rb: 0.807 0.807 0.641
I: 0.420 0.420 0.717
I: 0.851 0.851 0.215
Br: 0.096 0.096 0.327
Br: 0.097 0.097 0.104
Br: 0.174 0.174 0.827
Br: 0.176 0.176 0.604
Br: 0.364 0.364 0.393
Br: 0.365 0.365 0.038
Br: 0.635 0.635 0.966
Br: 0.636 0.636 0.465
Br: 0.906 0.906 0.894
Br: 0.907 0.907 0.538

## Properties
The total energy comes out at -2.82 eV per atom. Its magnetic moment is 0.33 μB/f.u. As for the space group: Cm (8). Its energy relative to the elements, uncorrected is -148.0 kJ/mol of atoms. For the calculated volume, the calculation gives 1245.0 Å³ per cell.